1.
The following is a PBE-GGA calculation of crystalline RbGeICl2 at its relaxed geometry, from Alexandria.

The structure in CIF format:
```
data_RbGeICl2
_space_group_name_H-M_alt 'P 4/m m m'
_space_group_IT_number 123
_space_group_name_Hall '-P 4 2'
_cell_length_a 5.3251
_cell_length_b 5.3251
_cell_length_c 5.9430
_cell_angle_alpha 90.00
_cell_angle_beta 90.00
_cell_angle_gamma 90.00
loop_
_atom_site_label
_atom_site_type_symbol
_atom_site_fract_x
_atom_site_fract_y
_atom_site_fract_z
Rb1 Rb 0.0000 0.0000 0.0000
Ge1 Ge 0.5000 0.5000 0.5000
I1 I 0.5000 0.5000 0.0000
Cl1 Cl 0.0000 0.5000 0.5000
```

Raw formation energy   -1096 meV/atom
Crystal system   tetragonal

2.
The following is a PBE-GGA calculation of crystalline Hf3TlPt at its relaxed geometry, from Alexandria.

The structure in CIF format:
```
data_Hf3TlPt
_space_group_name_H-M_alt 'P m -3 m'
_space_group_IT_number 221
_space_group_name_Hall '-P 4 2 3'
_cell_length_a 5.0689
_cell_length_b 5.0689
_cell_length_c 5.0689
_cell_angle_alpha 90.00
_cell_angle_beta 90.00
_cell_angle_gamma 90.00
loop_
_atom_site_label
_atom_site_type_symbol
_atom_site_fract_x
_atom_site_fract_y
_atom_site_fract_z
Hf1 Hf 0.0000 0.0000 0.5000
Tl1 Tl 0.5000 0.5000 0.5000
Pt1 Pt 0.0000 0.0000 0.0000
```

Distance to the lowest polymorph of the same formula   0 meV per atom
Crystal system   cubic

3.
The following is a PBE-GGA calculation of crystalline Ac2Zn4CuPt3 at its relaxed geometry, from Alexandria.

The structure in CIF format:
```
data_Ac2Zn4CuPt3
_space_group_name_H-M_alt 'P -4 m 2'
_space_group_IT_number 115
_cell_length_a 4.3903
_cell_length_b 4.3903
_cell_length_c 10.6178
_cell_angle_alpha 90.00
_cell_angle_beta 90.00
_cell_angle_gamma 90.00
loop_
_space_group_symop_operation_xyz
'x,y,z'
'y,-x,-z'
'-x,-y,z'
'-y,x,-z'
'-x,y,z'
'-y,-x,-z'
'x,-y,z'
'y,x,-z'
loop_
_atom_site_label
_atom_site_type_symbol
_atom_site_fract_x
_atom_site_fract_y
_atom_site_fract_z
Ac1 Ac 0.0000 0.5000 0.2453
Zn1 Zn 0.0000 0.0000 0.5000
Zn2 Zn 0.0000 0.5000 0.8795
Zn3 Zn 0.5000 0.5000 0.5000
Cu1 Cu 0.5000 0.5000 0.0000
Pt1 Pt 0.0000 0.0000 0.0000
Pt2 Pt 0.0000 0.5000 0.6365
```

VASP energy   -0.1554 Ha/atom
Crystal system   tetragonal

4.
The following is a PBE-GGA calculation of crystalline Y4In3Pb at its relaxed geometry, from Alexandria.

The structure in CIF format:
```
data_Y4In3Pb
_space_group_name_H-M_alt 'P m m a'
_space_group_IT_number 51
_cell_length_a 10.9153
_cell_length_b 7.1565
_cell_length_c 5.5514
_cell_angle_alpha 90.00
_cell_angle_beta 90.00
_cell_angle_gamma 90.00
loop_
_space_group_symop_operation_xyz
'x,y,z'
'-x,-y,-z'
'-x+1/2,-y,z'
'x+1/2,y,-z'
'x+1/2,-y,-z'
'-x+1/2,y,z'
'-x,y,-z'
'x,-y,z'
loop_
_atom_site_label
_atom_site_type_symbol
_atom_site_fract_x
_atom_site_fract_y
_atom_site_fract_z
Y1 Y 0.0000 0.2475 0.0000
Y2 Y 0.2500 0.2478 0.4240
In1 In 0.0000 0.0000 0.5000
In2 In 0.2500 0.0000 0.9149
In3 In 0.2500 0.5000 0.9205
Pb1 Pb 0.0000 0.5000 0.5000
```

VASP energy   -0.1908 Ha/atom
Crystal system   orthorhombic

5.
The following is a PBE-GGA calculation of crystalline KSr2Cu at its relaxed geometry, from Alexandria.

The structure in CIF format:
```
data_KSr2Cu
_space_group_name_H-M_alt 'P 1 2/m 1'
_space_group_IT_number 10
_cell_length_a 3.9192
_cell_length_b 3.9162
_cell_length_c 11.0209
_cell_angle_alpha 90.00
_cell_angle_beta 90.43
_cell_angle_gamma 90.00
loop_
_space_group_symop_operation_xyz
'x,y,z'
'-x,-y,-z'
'-x,y,-z'
'x,-y,z'
loop_
_atom_site_label
_atom_site_type_symbol
_atom_site_fract_x
_atom_site_fract_y
_atom_site_fract_z
K1 K 0.0000 0.0000 0.0000
Sr1 Sr 0.4994 0.5000 0.3353
Cu1 Cu 0.0000 0.0000 0.5000
```

Distance to the lowest polymorph of the same formula   30 meV per atom
Crystal system   monoclinic

6.
The following is a PBE-GGA calculation of crystalline CsZn2CdIr at its relaxed geometry, from Alexandria.

The structure in CIF format:
```
data_CsZn2CdIr
_space_group_name_H-M_alt 'P 4/m m m'
_space_group_IT_number 123
_space_group_name_Hall '-P 4 2'
_cell_length_a 5.0223
_cell_length_b 5.0223
_cell_length_c 5.3630
_cell_angle_alpha 90.00
_cell_angle_beta 90.00
_cell_angle_gamma 90.00
loop_
_atom_site_label
_atom_site_type_symbol
_atom_site_fract_x
_atom_site_fract_y
_atom_site_fract_z
Cs1 Cs 0.0000 0.0000 0.0000
Zn1 Zn 0.0000 0.5000 0.5000
Cd1 Cd 0.5000 0.5000 0.0000
Ir1 Ir 0.5000 0.5000 0.5000
```

VASP energy   -0.0975 Ha/atom
Crystal system   tetragonal

7.
The following is a PBE-GGA calculation of crystalline Ac2PmI8 at its relaxed geometry, from Alexandria.

The structure in CIF format:
```
data_Ac2PmI8
_space_group_name_H-M_alt 'C 1 2/m 1'
_space_group_IT_number 12
_cell_length_a 16.4356
_cell_length_b 11.8996
_cell_length_c 6.7849
_cell_angle_alpha 90.00
_cell_angle_beta 91.07
_cell_angle_gamma 90.00
loop_
_space_group_symop_operation_xyz
'x,y,z'
'-x,-y,-z'
'-x,y,-z'
'x,-y,z'
'x+1/2,y+1/2,z'
'-x+1/2,-y+1/2,-z'
'-x+1/2,y+1/2,-z'
'x+1/2,-y+1/2,z'
loop_
_atom_site_label
_atom_site_type_symbol
_atom_site_fract_x
_atom_site_fract_y
_atom_site_fract_z
Ac1 Ac 0.2039 0.0000 0.2153
Pm1 Pm 0.0000 0.0000 0.5000
I1 I 0.0752 0.1988 0.2516
I2 I 0.1094 0.5000 0.7486
I3 I 0.1772 0.0000 0.7205
```

Raw formation energy   -1289 meV/atom
Crystal system   monoclinic

8.
The following is a PBE-GGA calculation of crystalline Sm5Cd4Ni at its relaxed geometry, from Alexandria.

The structure in CIF format:
```
data_Sm5Cd4Ni
_space_group_name_H-M_alt 'P 4/m m m'
_space_group_IT_number 123
_space_group_name_Hall '-P 4 2'
_cell_length_a 3.6774
_cell_length_b 3.6774
_cell_length_c 19.4280
_cell_angle_alpha 90.00
_cell_angle_beta 90.00
_cell_angle_gamma 90.00
loop_
_atom_site_label
_atom_site_type_symbol
_atom_site_fract_x
_atom_site_fract_y
_atom_site_fract_z
Sm1 Sm 0.0000 0.0000 0.0000
Sm2 Sm 0.0000 0.0000 0.2077
Sm3 Sm 0.0000 0.0000 0.4170
Cd1 Cd 0.5000 0.5000 0.1037
Cd2 Cd 0.5000 0.5000 0.3097
Ni1 Ni 0.5000 0.5000 0.5000
```

VASP energy   -0.1325 Ha/atom
Crystal system   tetragonal

9.
The following is a PBE-GGA calculation of crystalline Be2SbP2 at its relaxed geometry, from Alexandria.

The structure in CIF format:
```
data_Be2SbP2
_space_group_name_H-M_alt 'I 4/m m m'
_space_group_IT_number 139
_space_group_name_Hall '-I 4 2'
_cell_length_a 3.4876
_cell_length_b 3.4876
_cell_length_c 12.7635
_cell_angle_alpha 90.00
_cell_angle_beta 90.00
_cell_angle_gamma 90.00
loop_
_atom_site_label
_atom_site_type_symbol
_atom_site_fract_x
_atom_site_fract_y
_atom_site_fract_z
Be1 Be 0.0000 0.5000 0.2500
Sb1 Sb 0.0000 0.0000 0.0000
P1 P 0.0000 0.0000 0.3555
```

Raw formation energy   71 meV/atom
Crystal system   tetragonal

10.
The following is a PBE-GGA calculation of crystalline La6Sb5H at its relaxed geometry, from Alexandria.

The structure in CIF format:
```
data_La6Sb5H
_space_group_name_H-M_alt 'C 1 2/m 1'
_space_group_IT_number 12
_cell_length_a 7.8906
_cell_length_b 13.6418
_cell_length_c 7.9056
_cell_angle_alpha 90.00
_cell_angle_beta 109.51
_cell_angle_gamma 90.00
loop_
_space_group_symop_operation_xyz
'x,y,z'
'-x,-y,-z'
'-x,y,-z'
'x,-y,z'
'x+1/2,y+1/2,z'
'-x+1/2,-y+1/2,-z'
'-x+1/2,y+1/2,-z'
'x+1/2,-y+1/2,z'
loop_
_atom_site_label
_atom_site_type_symbol
_atom_site_fract_x
_atom_site_fract_y
_atom_site_fract_z
La1 La 0.2492 0.1666 0.2486
La2 La 0.2502 0.0000 0.7456
Sb1 Sb 0.0000 0.1691 0.5000
Sb2 Sb 0.0000 0.3340 0.0000
Sb3 Sb 0.0000 0.5000 0.5000
H1 H 0.0000 0.0000 0.0000
```

VASP energy   -0.2032 Ha/atom
Crystal system   monoclinic

11.
The following is a PBE-GGA calculation of crystalline BaCu3 at its relaxed geometry, from Alexandria.

The structure in CIF format:
```
data_BaCu3
_space_group_name_H-M_alt 'P m m m'
_space_group_IT_number 47
_cell_length_a 4.3530
_cell_length_b 4.5895
_cell_length_c 4.8338
_cell_angle_alpha 90.00
_cell_angle_beta 90.00
_cell_angle_gamma 90.00
loop_
_space_group_symop_operation_xyz
'x,y,z'
'-x,-y,-z'
'-x,-y,z'
'x,y,-z'
'x,-y,-z'
'-x,y,z'
'-x,y,-z'
'x,-y,z'
loop_
_atom_site_label
_atom_site_type_symbol
_atom_site_fract_x
_atom_site_fract_y
_atom_site_fract_z
Ba1 Ba 0.0000 0.0000 0.0000
Cu1 Cu 0.0000 0.5000 0.5000
Cu2 Cu 0.5000 0.5000 0.2510
```

VASP energy   -0.1270 Ha/atom
Crystal system   orthorhombic

12.
The following is a PBE-GGA calculation of crystalline TbPu3Th4S8 at its relaxed geometry, from Alexandria.

The structure in CIF format:
```
data_TbPu3Th4S8
_space_group_name_H-M_alt 'R -3 m'
_space_group_IT_number 166
_space_group_name_Hall '-R 3 2"'
_cell_length_a 7.9192
_cell_length_b 7.9192
_cell_length_c 19.8359
_cell_angle_alpha 90.00
_cell_angle_beta 90.00
_cell_angle_gamma 120.00
loop_
_atom_site_label
_atom_site_type_symbol
_atom_site_fract_x
_atom_site_fract_y
_atom_site_fract_z
Tb1 Tb 0.0000 0.0000 0.0000
Pu1 Pu 0.0000 0.5000 0.0000
Th1 Th 0.0000 0.0000 0.5000
Th2 Th 0.0000 0.5000 0.5000
S1 S 0.0000 0.0000 0.2543
S2 S 0.9996 0.4998 0.2540
```

Raw formation energy   -1851 meV/atom
Crystal system   trigonal

What magnetic moment values result from the calculations? In sequence: 0.000, 0.000, 0.000, 0.000, 0.000, 0.000, 0.091, 0.028, 0.000, 0.000, 0.000, 0.998 μB per atom.